(1)
{
  "formula": "LaSm3Co8",
  "functional": "PBE-GGA",
  "state": "relaxed",
  "formation_energy_ev_per_atom": -0.074,
  "crystal_system": "trigonal",
  "cell": [[-4.1216, 3.0486, 0.4280], [-3.7782, -0.2789, -3.4803], [-6.4799, -4.9294, 3.6275]],
  "species": ["La", "Co", "Co", "Co", "Co", "Co", "Co", "Co", "Co", "Sm", "Sm", "Sm"],
  "frac_coords": [[0.8747, 0.8747, 0.3760], [0.1873, 0.1873, 0.4382], [0.9405, 0.4377, 0.1840], [0.4377, 0.4377, 0.1840], [0.4377, 0.9405, 0.1840], [0.9379, 0.4332, 0.6910], [0.6878, 0.6878, 0.9365], [0.9379, 0.9379, 0.6910], [0.4332, 0.9379, 0.6910], [0.5003, 0.5003, 0.4991], [0.9997, 0.9997, 0.0010], [0.3752, 0.3752, 0.8743]]
}

---

(2)
{
  "formula": "LaSm6Co2",
  "functional": "PBE-GGA",
  "state": "relaxed",
  "formation_energy_ev_per_atom": 0.005,
  "crystal_system": "orthorhombic",
  "cell": [[-5.8817, -6.3053, 1.4302], [5.1812, -1.6220, -6.8499], [4.8679, 0.4642, 7.2447]],
  "species": ["Sm", "Sm", "Sm", "Sm", "Sm", "Sm", "Sm", "Sm", "Sm", "Sm", "Sm", "Sm", "Co", "Co", "Co", "Co", "La", "La"],
  "frac_coords": [[0.3051, 0.6101, 0.3049], [0.2280, 0.2159, 0.4439], [0.4945, 0.3016, 0.1929], [0.3051, 0.0002, 0.6951], [0.6949, 0.9998, 0.3049], [0.7720, 0.2159, 0.9880], [0.7720, 0.7841, 0.5561], [0.2280, 0.7841, 0.0120], [0.6949, 0.3899, 0.6951], [0.8913, 0.6984, 0.1929], [0.5055, 0.6984, 0.8071], [0.1087, 0.3016, 0.8071], [0.5000, 0.6104, 0.1104], [0.5000, 0.3896, 0.8896], [0.6113, 0.0000, 0.6113], [0.3887, 0.0000, 0.3887], [0.0000, 0.5000, 0.5000], [0.0000, 0.0000, 0.0000]]
}

---

(3)
{
  "formula": "La3Sm4Co4",
  "functional": "PBE-GGA",
  "state": "relaxed",
  "formation_energy_ev_per_atom": -0.001,
  "crystal_system": "orthorhombic",
  "cell": [[-3.5940, -2.7797, 1.4800], [2.5441, 0.4845, 7.0879], [-3.7299, 7.2403, -3.1732]],
  "species": ["Co", "Co", "Co", "Co", "La", "La", "La", "Sm", "Sm", "Sm", "Sm"],
  "frac_coords": [[0.5000, 0.8520, 0.0000], [0.1984, 0.6984, 0.3968], [0.8016, 0.3016, 0.6032], [0.5000, 0.1480, 0.0000], [0.1044, 0.1044, 0.2088], [0.0000, 0.5000, 0.0000], [0.8956, 0.8956, 0.7912], [0.6697, 0.8896, 0.3394], [0.3303, 0.5502, 0.6606], [0.3303, 0.1104, 0.6606], [0.6697, 0.4498, 0.3394]]
}

---

(4)
{
  "formula": "LaSm8Co2",
  "functional": "PBE-GGA",
  "state": "relaxed",
  "formation_energy_ev_per_atom": 0.096,
  "crystal_system": "monoclinic",
  "cell": [[-5.1426, -5.0033, -0.0099], [6.1254, -3.2850, 2.8049], [1.3112, 1.6545, 7.1919]],
  "species": ["Co", "Co", "Sm", "Sm", "Sm", "Sm", "Sm", "Sm", "Sm", "Sm", "La"],
  "frac_coords": [[0.5950, 0.7953, 0.7953], [0.4050, 0.2047, 0.2047], [0.1814, 0.3333, 0.3333], [0.6807, 0.5822, 0.1862], [0.3092, 0.8712, 0.8712], [0.3193, 0.8138, 0.4178], [0.3193, 0.4178, 0.8138], [0.6807, 0.1862, 0.5822], [0.8186, 0.6667, 0.6667], [0.6908, 0.1288, 0.1288], [0.0000, 0.0000, 0.0000]]
}

---

(5)
{
  "formula": "La2Sm3Co2",
  "functional": "PBE-GGA",
  "state": "relaxed",
  "formation_energy_ev_per_atom": -0.102,
  "crystal_system": "monoclinic",
  "cell": [[-0.6347, 1.3946, 3.4253], [-5.5864, 0.3275, -3.2239], [1.6560, -8.2780, 3.6773]],
  "species": ["Sm", "Sm", "Sm", "La", "La", "Co", "Co"],
  "frac_coords": [[0.3822, 0.7645, 0.5841], [0.6178, 0.2355, 0.4159], [0.5000, 0.0000, 0.0000], [0.1758, 0.3517, 0.8004], [0.8242, 0.6483, 0.1996], [0.1849, 0.3698, 0.2446], [0.8151, 0.6302, 0.7554]]
}

---

(6)
{
  "formula": "La3Sm3Tl2Co",
  "functional": "PBE-GGA",
  "state": "relaxed",
  "formation_energy_ev_per_atom": -0.240,
  "crystal_system": "hexagonal",
  "cell": [[3.8608, 0.0000, 0.0000], [0.0000, 8.8955, 0.0000], [0.0000, -4.4477, 7.7037]],
  "species": ["Tl", "Tl", "Sm", "Sm", "Sm", "La", "La", "La", "Co"],
  "frac_coords": [[0.5000, 0.3333, 0.6667], [0.5000, 0.6667, 0.3333], [0.0000, 0.0000, 0.4035], [0.0000, 0.5965, 0.5965], [0.0000, 0.4035, 0.0000], [0.5000, 0.2318, 0.2318], [0.5000, 0.0000, 0.7682], [0.5000, 0.7682, 0.0000], [0.0000, 0.0000, 0.0000]]
}

---

no.,DOS at the Fermi energy (states/eV/cell)
1,19.22
2,22.52
3,13.19
4,11.83
5,7.64
6,10.26